The following is a DFT calculation (PBE-GGA) of an optimized crystal structure of TlTcPb2S.

SG: P4/mmm
Volume: 137.9 Å³/cell
Formation energy without anion corrections: 0.9 eV per formula unit

Cell: 5.5971 4.4011 5.5971 Å, 90.00 90.00 90.00°
Element x y z (fractional)
Pb 0.0000 0.0000 0.5000
Pb 0.5000 0.0000 0.0000
Tl 0.5000 0.5000 0.5000
S 0.0000 0.5000 0.0000
Tc 0.0000 0.0000 0.0000

The following is a DFT calculation (PBE-GGA) of an optimized crystal structure of TePbS6.

SG: P-1
Volume: 232.7 Å³/cell
Formation energy without anion corrections: 0.8 eV per formula unit

Cell: 4.0770 8.1860 8.2742 Å, 110.58 75.06 76.22°
Element x y z (fractional)
Te 0.0000 0.0000 0.0000
Pb 0.5000 0.5000 0.5000
S 0.2500 0.8621 0.6516
S 0.3733 0.2558 0.0076
S 0.8633 0.5047 0.7584
S 0.6267 0.7442 0.9924
S 0.7500 0.1379 0.3484
S 0.1367 0.4953 0.2416